Computed, not measured: a geometry-optimized Eu2SnHg structure at the PBE level of DFT.

Properties
total moment	56.31	μB/cell
energy relative to the lowest polymorph listed for this composition	0	meV per atom
V	30.253	Å³ per atom
energy of formation from the pure elements	-0.67	eV per atom

abc: 7.8517 7.8517 7.8517
angles: 90.00 90.00 90.00
Space group Fm-3m (No. 225)
Symmetry-distinct sites (fractional):
Eu (0.2500, 0.2500, 0.2500) (multiplicity 8)
Sn (0.0000, 0.0000, 0.0000) (multiplicity 4)
Hg (0.0000, 0.0000, 0.5000) (multiplicity 4)